Computed, not measured: a relaxed structure of InCuBr2 at the GGA-PBE level of DFT.

abc: 3.733 3.733 8.295
angles: 90.00 90.00 90.00
Positions (direct):
In (0.500, 0.500, 0.801)
Br (0.000, 0.000, 0.011)
Br (0.500, 0.500, 0.378)
Cu (0.000, 0.000, 0.310)

Calculated values
SG	P4mm, No. 99
distance to the lowest polymorph of the same formula	125	meV per atom
total moment	0.00	μB per formula unit
crystal system	tetragonal
uncorrected formation energy	-0.302	eV/atom
calculated volume	115.6	Å³ per cell

=====

Computed, not measured: a relaxed structure of In2CuBr at the GGA-PBE level of DFT.

abc: 5.256 5.256 5.256
angles: 60.00 60.00 60.00
Positions (direct):
Cu (0.750, 0.750, 0.750)
In (0.000, 0.000, 0.000)
In (0.250, 0.250, 0.250)
Br (0.500, 0.500, 0.500)

Calculated values
SG	F-43m, No. 216
distance to the lowest polymorph of the same formula	374	meV per atom
total moment	0.00	μB per formula unit
crystal system	cubic
uncorrected formation energy	0.254	eV/atom
calculated volume	102.6	Å³ per cell

=====

Computed, not measured: a relaxed structure of InCuBr2 at the GGA-PBE level of DFT.

abc: 4.114 4.971 6.637
angles: 68.08 90.00 90.00
Positions (direct):
Br (0.500, 0.407, 0.312)
Br (0.000, 0.114, 0.897)
In (0.500, 0.671, 0.779)
Cu (0.000, 0.308, 0.512)

Calculated values
SG	Pm, No. 6
distance to the lowest polymorph of the same formula	0	meV per atom
total moment	0.00	μB per formula unit
crystal system	monoclinic
uncorrected formation energy	-0.427	eV/atom
calculated volume	125.9	Å³ per cell

=====

Computed, not measured: a relaxed structure of InCuBr2 at the GGA-PBE level of DFT.

abc: 4.686 4.686 7.917
angles: 67.96 67.96 47.37
Positions (direct):
In (0.250, 0.250, 0.250)
Br (0.068, 0.068, 0.954)
Br (0.432, 0.432, 0.546)
Cu (0.750, 0.750, 0.750)

Calculated values
SG	C2/m, No. 12
distance to the lowest polymorph of the same formula	85	meV per atom
total moment	0.00	μB per formula unit
crystal system	monoclinic
uncorrected formation energy	-0.342	eV/atom
calculated volume	116.7	Å³ per cell